# 1
## AgSbTe2N (PBE-GGA)

Data for a relaxed AgSbTe2N crystal.

a b c (Å): 5.9181 5.9181 3.8708
angles (deg): 90.00 90.00 90.00
Element x y z (fractional)
1 N 0.0000 0.0000 0.5000
2 Ag 0.5000 0.5000 0.5000
3 Te 0.5000 0.0000 0.0000
4 Sb 0.0000 0.0000 0.0000
5 Te 0.0000 0.5000 0.0000

Results
- SG = No. 123
- relative energy among the computed polymorphs (eV/atom) = 0.134
- formation energy from raw total energies (eV/atom) = 0.858

***

# 2
## Ac12Ho5Hg3 (PBE-GGA)

Data for a relaxed Ac12Ho5Hg3 crystal.

a b c (Å): 16.9834 16.9834 16.9834
angles (deg): 109.47 109.47 109.47
Element x y z (fractional)
1 Ho 0.7500 0.1250 0.8750
2 Ho 0.5000 0.5000 0.5000
3 Ac 0.2687 0.8685 0.9315
4 Ac 0.5685 0.2313 0.1315
5 Ac 0.8372 0.9370 0.0685
6 Ho 0.5000 0.5000 0.0000
7 Hg 0.6250 0.2500 0.3750
8 Ho 0.0000 0.0000 0.0000
9 Ac 0.2687 0.4002 0.8372
10 Hg 0.7500 0.8750 0.6250
11 Hg 0.8750 0.7500 0.1250
12 Ac 0.4370 0.0685 0.3372
13 Ac 0.8372 0.9002 0.2687
14 Ac 0.9370 0.0998 0.8685
15 Ac 0.5630 0.6315 0.4002
16 Ac 0.7313 0.1315 0.0685
17 Ac 0.2313 0.6628 0.0998
18 Ac 0.6315 0.0685 0.2313
19 Hg 0.7500 0.3750 0.1250
20 Ac 0.3685 0.9315 0.7687
21 Ho 0.0000 0.0000 0.5000
22 Hg 0.8750 0.1250 0.2500
23 Ac 0.0998 0.1628 0.2313
24 Ac 0.5630 0.9315 0.6628
25 Ac 0.1628 0.0998 0.7313
26 Hg 0.1250 0.8750 0.7500
27 Ac 0.7687 0.3372 0.9002
28 Ho 0.3750 0.1250 0.7500
29 Ac 0.7313 0.5998 0.1628
30 Hg 0.3750 0.7500 0.6250
31 Ac 0.4370 0.3685 0.5998
32 Ac 0.9370 0.8372 0.5685
33 Ac 0.5685 0.3372 0.9370
34 Hg 0.6250 0.3750 0.7500
35 Ho 0.8750 0.2500 0.6250
36 Ac 0.0685 0.4370 0.8372
37 Ac 0.2313 0.5685 0.6315
38 Ac 0.1315 0.7313 0.5685
39 Ac 0.9315 0.3685 0.2687
40 Ho 0.1250 0.3750 0.2500
41 Ho 0.0000 0.5000 0.0000
42 Ho 0.0000 0.5000 0.5000
43 Ho 0.5000 0.0000 0.0000
44 Ac 0.8685 0.5998 0.9370
45 Ac 0.4315 0.7687 0.8685
46 Ho 0.5000 0.0000 0.5000
47 Ho 0.2500 0.3750 0.6250
48 Ac 0.8685 0.2687 0.4315
49 Ac 0.5998 0.7313 0.6628
50 Ac 0.0630 0.1628 0.4315
51 Ac 0.9002 0.0630 0.6315
52 Ac 0.7687 0.4315 0.3685
53 Ac 0.3372 0.7687 0.4002
54 Ac 0.0685 0.6315 0.7313
55 Ho 0.6250 0.7500 0.8750
56 Ac 0.5998 0.8685 0.4370
57 Ac 0.9315 0.5630 0.1628
58 Ho 0.6250 0.8750 0.2500
59 Ac 0.4002 0.1315 0.5630
60 Ac 0.9002 0.8372 0.7687
61 Ho 0.7500 0.6250 0.3750
62 Hg 0.3750 0.6250 0.2500
63 Ac 0.4002 0.2687 0.3372
64 Ac 0.0998 0.9370 0.3685
65 Ho 0.1250 0.7500 0.3750
66 Ac 0.6628 0.4315 0.5630
67 Ho 0.3750 0.2500 0.1250
68 Hg 0.2500 0.1250 0.3750
69 Hg 0.2500 0.6250 0.8750
70 Ac 0.1628 0.0630 0.9315
71 Ac 0.3685 0.4370 0.0998
72 Ac 0.6315 0.5630 0.9002
73 Ac 0.0630 0.9002 0.1315
74 Ac 0.6628 0.2313 0.5998
75 Ac 0.3372 0.5685 0.4370
76 Ho 0.8750 0.6250 0.7500
77 Ho 0.2500 0.8750 0.1250
78 Ac 0.1315 0.4002 0.0630
79 Hg 0.1250 0.2500 0.8750
80 Ac 0.4315 0.6628 0.0630

Results
- SG = No. 230
- formation energy from the elements (eV/atom) = 0.70

***

no.,N(E_F) (states/eV/cell)
1,3.9
2,131.8